(1)
An optimized crystal structure of Si2AgIrPb. Source: Alexandria via LeMat-Bulk, functional PBE.

Output
formation energy without anion corrections: 0.352 eV per atom

Cell and atoms, written as CIF:
```
data_Si2AgIrPb
_symmetry_space_group_name_H-M 'P 4/m m m'
_symmetry_Int_Tables_number 123
_symmetry_space_group_name_Hall '-P 4 2'
_cell_length_a 4.4903
_cell_length_b 4.4903
_cell_length_c 6.3060
_cell_angle_alpha 90.00
_cell_angle_beta 90.00
_cell_angle_gamma 90.00
loop_
_atom_site_label
_atom_site_fract_x
_atom_site_fract_y
_atom_site_fract_z
Si1 0.0000 0.5000 0.0000
Ag1 0.0000 0.0000 0.5000
Ir1 0.5000 0.5000 0.0000
Pb1 0.5000 0.5000 0.5000
```

---

(2)
An optimized crystal structure of DySc2Cu2Si2. Source: Alexandria via LeMat-Bulk, functional PBE.

Output
formation energy without anion corrections: -0.523 eV per atom

Cell and atoms, written as CIF:
```
data_DySc2Cu2Si2
_symmetry_space_group_name_H-M 'R -3 m'
_symmetry_Int_Tables_number 166
_symmetry_space_group_name_Hall '-R 3 2"'
_cell_length_a 4.1582
_cell_length_b 4.1582
_cell_length_c 25.5451
_cell_angle_alpha 90.00
_cell_angle_beta 90.00
_cell_angle_gamma 120.00
loop_
_atom_site_label
_atom_site_fract_x
_atom_site_fract_y
_atom_site_fract_z
Dy1 0.0000 0.0000 0.0000
Sc1 0.0000 0.0000 0.1308
Cu1 0.0000 0.0000 0.4089
Si1 0.0000 0.0000 0.2556
```

---

(3)
An optimized crystal structure of Zn2AsSe. Source: Alexandria via LeMat-Bulk, functional PBE.

Output
formation energy without anion corrections: 0.202 eV per atom

Cell and atoms, written as CIF:
```
data_Zn2AsSe
_symmetry_space_group_name_H-M 'P 4/m m m'
_symmetry_Int_Tables_number 123
_symmetry_space_group_name_Hall '-P 4 2'
_cell_length_a 3.2644
_cell_length_b 3.2644
_cell_length_c 6.8879
_cell_angle_alpha 90.00
_cell_angle_beta 90.00
_cell_angle_gamma 90.00
loop_
_atom_site_label
_atom_site_fract_x
_atom_site_fract_y
_atom_site_fract_z
Zn1 0.0000 0.0000 0.2435
As1 0.5000 0.5000 0.5000
Se1 0.5000 0.5000 0.0000
```

---

(4)
An optimized crystal structure of Tb2ErMg2. Source: Alexandria via LeMat-Bulk, functional PBE.

Output
ΔE_f: -0.0644 eV per atom
excess energy over the best structure of this formula in the dataset: 0 meV per atom

Cell and atoms, written as CIF:
```
data_Tb2ErMg2
_symmetry_space_group_name_H-M 'P 1 21/m 1'
_symmetry_Int_Tables_number 11
_cell_length_a 3.7315
_cell_length_b 5.4139
_cell_length_c 14.0427
_cell_angle_alpha 90.00
_cell_angle_beta 97.64
_cell_angle_gamma 90.00
loop_
_symmetry_equiv_pos_as_xyz
'x,y,z'
'-x,-y,-z'
'-x,y+1/2,-z'
'x,-y+1/2,z'
loop_
_atom_site_label
_atom_site_fract_x
_atom_site_fract_y
_atom_site_fract_z
Tb1 0.0441 0.2500 0.0880
Tb2 0.2365 0.2500 0.4741
Er1 0.1513 0.7500 0.3035
Mg1 0.3610 0.7500 0.7202
Mg2 0.4456 0.2500 0.8907
```